(1)
This record from Alexandria via LeMat-Bulk describes a relaxed CuBPd2Pt crystal. The functional is PBE. Values from VASP.

Cell and atoms, written as Quantum ESPRESSO input:
```
&SYSTEM
  ibrav = 0, nat = 5, ntyp = 4
/
ATOMIC_SPECIES
Cu 63.55 Cu.upf
B 10.81 B.upf
Pd 106.42 Pd.upf
Pt 195.08 Pt.upf
CELL_PARAMETERS angstrom
4.151 0.000 0.000
0.000 4.151 0.000
0.000 0.000 4.119
ATOMIC_POSITIONS crystal
Cu 0.000 0.000 0.000
B 0.500 0.500 0.500
Pd 0.000 0.500 0.500
Pd 0.500 0.000 0.500
Pt 0.500 0.500 0.000
```

## Properties
formation energy: -0.097 eV per atom
M_tot: 0.00 μB/f.u.

(2)
This record from Alexandria via LeMat-Bulk describes a relaxed CuBPdPt2 crystal. The functional is PBE. Values from VASP.

Cell and atoms, written as Quantum ESPRESSO input:
```
&SYSTEM
  ibrav = 0, nat = 5, ntyp = 4
/
ATOMIC_SPECIES
Cu 63.55 Cu.upf
B 10.81 B.upf
Pd 106.42 Pd.upf
Pt 195.08 Pt.upf
CELL_PARAMETERS angstrom
4.131 0.000 0.000
0.000 4.131 0.000
0.000 0.000 4.183
ATOMIC_POSITIONS crystal
Cu 0.000 0.000 0.000
B 0.500 0.500 0.500
Pd 0.500 0.500 0.000
Pt 0.000 0.500 0.500
Pt 0.500 0.000 0.500
```

## Properties
formation energy: -0.094 eV per atom
M_tot: 0.00 μB/f.u.

(3)
This record from Alexandria via LeMat-Bulk describes a relaxed CuB2Pd5Pt2 crystal. The functional is PBE. Values from VASP.

Cell and atoms, written as Quantum ESPRESSO input:
```
&SYSTEM
  ibrav = 0, nat = 20, ntyp = 4
/
ATOMIC_SPECIES
Cu 63.55 Cu.upf
B 10.81 B.upf
Pd 106.42 Pd.upf
Pt 195.08 Pt.upf
CELL_PARAMETERS angstrom
9.788 0.000 0.000
0.000 9.788 0.000
0.000 0.000 2.814
ATOMIC_POSITIONS crystal
Cu 0.000 0.000 0.000
Cu 0.500 0.500 0.000
B 0.137 0.363 0.000
B 0.363 0.863 0.000
B 0.637 0.137 0.000
B 0.863 0.637 0.000
Pd 0.000 0.500 0.500
Pd 0.031 0.223 0.500
Pd 0.223 0.969 0.500
Pd 0.277 0.469 0.500
Pd 0.469 0.723 0.500
Pd 0.500 0.000 0.500
Pd 0.531 0.277 0.500
Pd 0.723 0.531 0.500
Pd 0.777 0.031 0.500
Pd 0.969 0.777 0.500
Pt 0.212 0.712 0.000
Pt 0.288 0.212 0.000
Pt 0.712 0.788 0.000
Pt 0.788 0.288 0.000
```

## Properties
formation energy: -0.150 eV per atom
M_tot: 0.00 μB/f.u.

(4)
This record from Alexandria via LeMat-Bulk describes a relaxed Cu2B2PdPt5 crystal. The functional is PBE. Values from VASP.

Cell and atoms, written as Quantum ESPRESSO input:
```
&SYSTEM
  ibrav = 0, nat = 20, ntyp = 4
/
ATOMIC_SPECIES
Cu 63.55 Cu.upf
B 10.81 B.upf
Pd 106.42 Pd.upf
Pt 195.08 Pt.upf
CELL_PARAMETERS angstrom
9.961 0.000 0.000
0.000 9.961 0.000
0.000 0.000 2.779
ATOMIC_POSITIONS crystal
Cu 0.204 0.296 0.000
Cu 0.296 0.796 0.000
Cu 0.704 0.204 0.000
Cu 0.796 0.704 0.000
B 0.129 0.629 0.000
B 0.371 0.129 0.000
B 0.629 0.871 0.000
B 0.871 0.371 0.000
Pd 0.000 0.000 0.000
Pd 0.500 0.500 0.000
Pt 0.000 0.500 0.500
Pt 0.040 0.770 0.500
Pt 0.230 0.040 0.500
Pt 0.270 0.540 0.500
Pt 0.460 0.270 0.500
Pt 0.500 0.000 0.500
Pt 0.540 0.730 0.500
Pt 0.730 0.460 0.500
Pt 0.770 0.960 0.500
Pt 0.960 0.230 0.500
```

## Properties
formation energy: -0.124 eV per atom
M_tot: 0.00 μB/f.u.

(5)
This record from Alexandria via LeMat-Bulk describes a relaxed CuBPd2Rh crystal. The functional is PBE. Values from VASP.

Cell and atoms, written as Quantum ESPRESSO input:
```
&SYSTEM
  ibrav = 0, nat = 5, ntyp = 4
/
ATOMIC_SPECIES
Cu 63.55 Cu.upf
B 10.81 B.upf
Pd 106.42 Pd.upf
Rh 102.91 Rh.upf
CELL_PARAMETERS angstrom
4.131 0.000 0.000
0.000 4.131 0.000
0.000 0.000 4.069
ATOMIC_POSITIONS crystal
Cu 0.000 0.000 0.000
B 0.500 0.500 0.500
Pd 0.000 0.500 0.500
Pd 0.500 0.000 0.500
Rh 0.500 0.500 0.000
```

## Properties
formation energy: -0.011 eV per atom
M_tot: 0.00 μB/f.u.

(6)
This record from Alexandria via LeMat-Bulk describes a relaxed CuBPdRh crystal. The functional is PBE. Values from VASP.

Cell and atoms, written as Quantum ESPRESSO input:
```
&SYSTEM
  ibrav = 0, nat = 4, ntyp = 4
/
ATOMIC_SPECIES
Cu 63.55 Cu.upf
B 10.81 B.upf
Pd 106.42 Pd.upf
Rh 102.91 Rh.upf
CELL_PARAMETERS angstrom
0.000 2.871 2.871
2.871 0.000 2.871
2.871 2.871 0.000
ATOMIC_POSITIONS crystal
Cu 0.000 0.000 0.000
B 0.500 0.500 0.500
Pd 0.250 0.250 0.250
Rh 0.750 0.750 0.750
```

## Properties
formation energy: 0.147 eV per atom
M_tot: 0.00 μB/f.u.

(7)
This record from Alexandria via LeMat-Bulk describes a relaxed ScCu2BPd crystal. The functional is PBE. Values from VASP.

Cell and atoms, written as Quantum ESPRESSO input:
```
&SYSTEM
  ibrav = 0, nat = 5, ntyp = 4
/
ATOMIC_SPECIES
Sc 44.96 Sc.upf
Cu 63.55 Cu.upf
B 10.81 B.upf
Pd 106.42 Pd.upf
CELL_PARAMETERS angstrom
4.683 0.000 0.000
0.000 4.683 0.000
0.000 0.000 3.928
ATOMIC_POSITIONS crystal
Sc 0.000 0.000 0.000
Cu 0.000 0.500 0.500
Cu 0.500 0.000 0.500
B 0.500 0.500 0.000
Pd 0.500 0.500 0.500
```

## Properties
formation energy: 0.481 eV per atom
M_tot: 0.00 μB/f.u.

(8)
This record from Alexandria via LeMat-Bulk describes a relaxed Sr2CuBPd crystal. The functional is PBE. Values from VASP.

Cell and atoms, written as Quantum ESPRESSO input:
```
&SYSTEM
  ibrav = 0, nat = 5, ntyp = 4
/
ATOMIC_SPECIES
Sr 87.62 Sr.upf
Cu 63.55 Cu.upf
B 10.81 B.upf
Pd 106.42 Pd.upf
CELL_PARAMETERS angstrom
5.638 0.000 0.000
0.000 5.638 0.000
0.000 0.000 4.587
ATOMIC_POSITIONS crystal
Sr 0.000 0.500 0.000
Sr 0.500 0.000 0.000
Cu 0.000 0.000 0.000
B 0.500 0.500 0.500
Pd 0.000 0.000 0.500
```

## Properties
formation energy: 0.734 eV per atom
M_tot: 0.76 μB/f.u.

(9)
This record from Alexandria via LeMat-Bulk describes a relaxed TlCuBPd2 crystal. The functional is PBE. Values from VASP.

Cell and atoms, written as Quantum ESPRESSO input:
```
&SYSTEM
  ibrav = 0, nat = 5, ntyp = 4
/
ATOMIC_SPECIES
Tl 204.38 Tl.upf
Cu 63.55 Cu.upf
B 10.81 B.upf
Pd 106.42 Pd.upf
CELL_PARAMETERS angstrom
4.287 0.000 0.000
0.000 4.287 0.000
0.000 0.000 4.102
ATOMIC_POSITIONS crystal
Tl 0.000 0.000 0.000
Cu 0.500 0.500 0.000
B 0.500 0.500 0.500
Pd 0.000 0.500 0.500
Pd 0.500 0.000 0.500
```

## Properties
formation energy: 0.013 eV per atom
M_tot: 0.00 μB/f.u.

(10)
This record from Alexandria via LeMat-Bulk describes a relaxed CuBPdW2 crystal. The functional is PBE. Values from VASP.

Cell and atoms, written as Quantum ESPRESSO input:
```
&SYSTEM
  ibrav = 0, nat = 5, ntyp = 4
/
ATOMIC_SPECIES
Cu 63.55 Cu.upf
B 10.81 B.upf
Pd 106.42 Pd.upf
W 183.84 W.upf
CELL_PARAMETERS angstrom
4.725 0.000 0.000
0.000 4.725 0.000
0.000 0.000 4.492
ATOMIC_POSITIONS crystal
Cu 0.000 0.000 0.000
B 0.500 0.500 0.000
Pd 0.000 0.000 0.500
W 0.000 0.500 0.500
W 0.500 0.000 0.500
```

## Properties
formation energy: 2.746 eV per atom
M_tot: 1.06 μB/f.u.

(11)
This record from Alexandria via LeMat-Bulk describes a relaxed PmCuB crystal. The functional is PBE. Values from VASP.

Cell and atoms, written as Quantum ESPRESSO input:
```
&SYSTEM
  ibrav = 0, nat = 6, ntyp = 3
/
ATOMIC_SPECIES
Pm 145.00 Pm.upf
Cu 63.55 Cu.upf
B 10.81 B.upf
CELL_PARAMETERS angstrom
3.634 0.000 0.000
0.000 3.634 0.000
0.000 0.000 8.136
ATOMIC_POSITIONS crystal
Pm 0.250 0.250 0.209
Pm 0.750 0.750 0.791
Cu 0.250 0.750 0.500
Cu 0.750 0.250 0.500
B 0.250 0.250 0.640
B 0.750 0.750 0.360
```

## Properties
formation energy: -0.039 eV per atom
M_tot: 0.00 μB/f.u.
relative energy among the computed polymorphs: 0.018 eV/atom

(12)
This record from Alexandria via LeMat-Bulk describes a relaxed PmCuB crystal. The functional is PBE. Values from VASP.

Cell and atoms, written as Quantum ESPRESSO input:
```
&SYSTEM
  ibrav = 0, nat = 3, ntyp = 3
/
ATOMIC_SPECIES
Pm 145.00 Pm.upf
Cu 63.55 Cu.upf
B 10.81 B.upf
CELL_PARAMETERS angstrom
3.735 0.000 0.000
-1.867 3.234 0.000
0.000 0.000 4.106
ATOMIC_POSITIONS crystal
Pm 0.000 0.000 0.000
Cu 0.667 0.333 0.500
B 0.333 0.667 0.500
```

## Properties
formation energy: -0.057 eV per atom
M_tot: 0.00 μB/f.u.
relative energy among the computed polymorphs: 0.000 eV/atom

The records above yield DFT total energy values of -5.54, -5.70, -5.70, -5.82, -5.71, -5.68, -4.80, -3.13, -4.69, -5.63, -5.21, -5.23 eV per atom, respectively.